(1)
Entry from Alexandria: a PBEsol-optimized structure of MgWO4 (SCAN).

extended XYZ file:
```
12
Lattice="-4.976 0.638 -2.113 -1.347 -5.039 1.650 0.665 1.547 5.266" Properties=species:S:1:pos:R:3 pbc="T T T"
O -3.997 -1.698 3.076
O -4.994 -3.405 1.588
O -1.661 -1.155 1.728
O -2.036 -4.108 1.855
O -3.965 -1.107 -0.004
O -3.622 1.255 2.949
O -0.664 0.551 3.215
O -1.693 -1.746 4.808
Mg -3.173 -2.479 1.303
Mg -2.485 -0.374 3.500
W -0.035 -0.366 1.563
W -0.647 -3.125 5.354
```

The electronic total energy comes out at -19.165 eV/atom. The uncorrected formation energy comes out at -248 kJ per mole of atoms.



(2)
Entry from Alexandria: a PBEsol-optimized structure of Y3MgO (SCAN).

extended XYZ file:
```
5
Lattice="-0.033 1.219 -4.618 -4.142 -2.307 -0.579 -2.378 4.001 1.073" Properties=species:S:1:pos:R:3 pbc="T T T"
O 0.000 0.000 0.000
Y -0.017 0.609 -2.309
Y -1.189 2.000 0.537
Y -2.071 -1.153 -0.289
Mg -3.277 1.456 -2.062
```

The electronic total energy comes out at -20.281 eV/atom. The uncorrected formation energy comes out at -129 kJ per mole of atoms.



(3)
Entry from Alexandria: a PBEsol-optimized structure of YMg3O (SCAN).

extended XYZ file:
```
5
Lattice="-4.923 -3.517 -0.689 3.393 -4.951 1.023 -1.151 0.443 5.963" Properties=species:S:1:pos:R:3 pbc="T T T"
Y 0.000 0.000 0.000
Mg -2.461 -1.758 -0.344
Mg -0.575 0.222 2.981
Mg 1.697 -2.475 0.512
O -1.340 -4.012 3.149
```

The electronic total energy comes out at -8.329 eV/atom. The uncorrected formation energy comes out at 142 kJ per mole of atoms.



(4)
Entry from Alexandria: a PBEsol-optimized structure of MgZn3O (SCAN).

extended XYZ file:
```
5
Lattice="-1.414 2.624 -3.024 -2.522 -3.074 -1.488 -3.109 1.300 2.582" Properties=species:S:1:pos:R:3 pbc="T T T"
Zn -1.261 -1.537 -0.744
Zn -1.554 0.650 1.291
Zn -0.707 1.312 -1.512
Mg -3.522 0.425 -0.965
O 0.000 0.000 0.000
```

The electronic total energy comes out at -10.459 eV/atom. The uncorrected formation energy comes out at -11 kJ per mole of atoms.



(5)
Entry from Alexandria: a PBEsol-optimized structure of MgZn3O4 (SCAN).

extended XYZ file:
```
8
Lattice="3.257 0.000 0.000 0.000 5.610 0.000 -1.628 -2.805 5.197" Properties=species:S:1:pos:R:3 pbc="T T T"
O 1.628 -0.934 1.991
O 0.000 1.865 1.982
O 1.628 0.941 4.562
O 0.000 -1.871 4.589
Zn 1.628 4.658 0.012
Zn 0.000 3.732 2.595
Zn 0.000 1.880 0.003
Mg 1.628 0.950 2.582
```

The electronic total energy comes out at -10.746 eV/atom. The uncorrected formation energy comes out at -187 kJ per mole of atoms.



(6)
Entry from Alexandria: a PBEsol-optimized structure of MgZrO3 (SCAN).

extended XYZ file:
```
10
Lattice="5.332 0.000 0.000 2.666 4.618 0.000 2.666 1.539 4.692" Properties=species:S:1:pos:R:3 pbc="T T T"
Zr 7.998 4.618 1.992
Zr 2.666 1.539 2.700
O 3.447 3.229 3.501
O 4.260 1.521 1.190
O 6.145 1.371 3.501
O 4.520 4.786 1.190
O 7.217 2.928 1.190
O 6.405 4.636 3.501
Mg 5.332 3.079 4.387
Mg 5.332 3.079 0.305
```

The electronic total energy comes out at -14.282 eV/atom. The uncorrected formation energy comes out at -329 kJ per mole of atoms.



(7)
Entry from Alexandria: a PBEsol-optimized structure of MgZrO3 (SCAN).

extended XYZ file:
```
5
Lattice="-1.757 2.383 -2.210 -2.261 0.908 2.778 2.335 2.674 1.027" Properties=species:S:1:pos:R:3 pbc="T T T"
O 0.037 1.791 1.902
O -2.009 1.646 0.284
O 0.289 2.529 -0.592
Zr 0.000 0.000 0.000
Mg -0.842 2.983 0.797
```

The electronic total energy comes out at -13.275 eV/atom. The uncorrected formation energy comes out at -232 kJ per mole of atoms.



(8)
Entry from Alexandria: a PBEsol-optimized structure of Mg3Os4 (SCAN).

extended XYZ file:
```
7
Lattice="-2.762 0.375 0.503 -0.154 -2.608 1.094 4.447 6.223 11.796" Properties=species:S:1:pos:R:3 pbc="T T T"
Os 0.748 2.653 10.096
Os 2.553 4.363 10.760
Os -1.023 -0.373 2.633
Os 0.782 1.337 3.297
Mg 1.782 3.045 7.510
Mg -0.252 0.945 5.883
Mg 0.000 0.000 0.000
```

Its energy of formation from the pure elements is 44 meV/atom. The electronic total energy comes out at -43.162 eV/atom.



(9)
Entry from Alexandria: a PBEsol-optimized structure of Mg17Os12 (SCAN).

extended XYZ file:
```
29
Lattice="8.602 0.000 0.000 -2.867 8.110 0.000 -2.867 -4.055 7.024" Properties=species:S:1:pos:R:3 pbc="T T T"
Mg -1.440 2.756 4.773
Mg 4.295 2.599 0.000
Mg 3.078 -0.439 4.773
Mg -2.657 0.141 4.257
Mg 3.886 1.597 2.767
Mg -2.657 3.616 2.251
Mg 1.846 2.610 4.521
Mg 3.065 0.000 0.000
Mg 3.078 4.353 2.006
Mg -1.022 -1.445 2.503
Mg 1.019 -2.458 4.257
Mg 0.211 4.196 2.767
Mg 1.019 4.915 0.000
Mg 4.295 -1.299 2.251
Mg 0.211 0.298 5.018
Mg 0.000 0.000 0.000
Mg -1.022 2.890 0.000
Os 1.539 2.177 1.205
Os 5.180 5.238 0.000
Os 6.079 0.740 1.282
Os 3.212 6.629 0.000
Os 1.539 -0.045 2.487
Os -4.196 4.010 4.536
Os -1.328 5.978 1.282
Os -4.196 1.923 5.741
Os 5.180 -2.619 4.536
Os -0.555 1.436 2.487
Os -1.328 -1.879 5.819
Os 3.212 -3.315 5.741
```

Its energy of formation from the pure elements is -34 meV/atom. The electronic total energy comes out at -32.693 eV/atom.



What is the electronic total energy in the second record? -20.281 eV/atom



Which of these has the lowest electronic total energy? Mg3Os4



Look up the electronic total energy of the ninth one. -32.693 eV/atom



Look up the electronic total energy of the second one. -20.281 eV/atom